Record 1
TaMo: single point on PBEsol structure, meta-GGA SCAN.

calculated total energy: -305.47 eV per cell
M_tot: 0.0 Bohr magnetons per cell
space-group type: C2/m, No. 12

Geometry as extended XYZ:
```
6
Lattice="4.504 0.000 0.000 2.252 4.809 -0.005 2.252 1.693 4.519" Properties=species:S:1:pos:R:3 pbc="T T T"
Mo 2.252 3.251 2.257
Mo 2.252 1.637 0.030
Mo 6.756 4.865 4.483
Ta 4.504 1.699 2.304
Ta 0.000 0.000 0.000
Ta 4.504 4.802 2.210
```

Record 2
TiNi3Sn2P6O24: single point on PBEsol structure, meta-GGA SCAN.

calculated total energy: -426.74 eV per cell
M_tot: 6.1 Bohr magnetons per cell
space-group type: R3, No. 146

Geometry as extended XYZ:
```
36
Lattice="-3.970 0.237 -7.392 -2.576 -7.237 -3.385 -8.234 -1.625 -0.166" Properties=species:S:1:pos:R:3 pbc="T T T"
O -5.349 -4.592 -5.369
O -12.697 -7.430 -7.474
O -6.388 -2.927 -8.728
O -8.199 -6.266 -5.634
O -6.380 -5.388 -9.445
O -6.691 -2.380 -5.301
O -8.980 -7.100 -8.112
O -9.480 -4.019 -5.674
O -11.032 -6.237 -6.021
O -10.211 -2.764 -3.693
O -5.828 -1.573 -2.772
O -8.969 -7.935 -3.941
O -4.359 -4.264 -2.636
O -7.027 -4.155 -3.448
O -10.855 -7.957 -9.546
O -6.524 -7.802 -4.701
O -3.910 -6.593 -4.898
O -3.789 -2.319 -4.940
O -10.372 -4.393 -8.365
O -8.361 -3.242 -1.528
O -12.292 -5.528 -9.519
O -5.811 -0.717 -6.962
O -7.777 -4.570 -7.541
O -10.886 -1.986 -6.040
Ti -12.569 -7.335 -9.307
Ni -5.244 -3.060 -3.883
Ni -2.189 -1.277 -1.621
Ni -9.539 -5.566 -7.063
P -6.788 -0.880 -5.742
P -7.266 -4.114 -8.974
P -7.941 -7.767 -5.184
P -4.081 -5.365 -5.864
P -10.702 -3.238 -5.025
P -7.482 -4.463 -1.981
Sn -0.030 -0.017 -0.022
Sn -7.426 -4.334 -5.499
```

Record 3
MnAs2W: single point on PBEsol structure, meta-GGA SCAN.

E above lowest polymorph: 0.0 meV per atom
calculated total energy: -127.16 eV per cell
M_tot: 0.0 Bohr magnetons per cell
space-group type: P4/mmm, No. 123

Geometry as extended XYZ:
```
4
Lattice="-2.823 0.284 -1.052 -0.274 -3.012 -0.078 -2.085 0.045 5.609" Properties=species:S:1:pos:R:3 pbc="T T T"
As -4.409 0.319 3.216
As -0.499 0.011 1.342
W -2.591 -1.341 2.240
Mn -1.549 -1.364 -0.565
```

Record 4
SrMgTa2: single point on PBEsol structure, meta-GGA SCAN.

calculated total energy: -156.46 eV per cell
M_tot: 1.1 Bohr magnetons per cell
space-group type: P4/mmm, No. 123

Geometry as extended XYZ:
```
4
Lattice="3.652 0.000 0.000 0.000 3.652 0.000 0.000 0.000 7.233" Properties=species:S:1:pos:R:3 pbc="T T T"
Sr 1.826 1.826 3.617
Ta 0.000 0.000 1.216
Ta 0.000 0.000 6.017
Mg 1.826 1.826 0.000
```

Record 5
KInPb2: single point on PBEsol structure, meta-GGA SCAN.

calculated total energy: -193.90 eV per cell
M_tot: 0.0 Bohr magnetons per cell
space-group type: C2/m, No. 12

Geometry as extended XYZ:
```
4
Lattice="-2.137 2.608 -1.197 -3.151 -4.338 1.521 0.294 3.087 6.201" Properties=species:S:1:pos:R:3 pbc="T T T"
In 0.147 1.543 3.101
Pb -2.923 1.962 4.146
Pb -2.071 -0.605 2.379
K -1.069 1.304 -0.598
```

Record 6
ZnSbPI2: single point on PBEsol structure, meta-GGA SCAN.

calculated total energy: -131.60 eV per cell
M_tot: 0.0 Bohr magnetons per cell
space-group type: P4/mmm, No. 123

Geometry as extended XYZ:
```
5
Lattice="5.172 0.000 0.000 0.000 5.464 0.000 0.000 0.000 5.464" Properties=species:S:1:pos:R:3 pbc="T T T"
Sb 2.586 0.000 0.000
I 0.000 2.732 0.000
I 0.000 0.000 2.732
Zn 2.586 2.732 2.732
P 0.000 0.000 0.000
```